[1]
An optimized crystal structure of CaRuN2F, computed with PBE.

Properties
Raw formation energy in meV per atom: 1172.0
Symmetry: No. 123
ΔE to the lowest computed polymorph in meV/atom: 1772
Crystal system: tetragonal

a = 4.382 Å, b = 4.071 Å, c = 4.382 Å
α = 90.00°, β = 90.00°, γ = 90.00°
Each line ends with the local moment (μB).
Positions (direct):
F 0.000 0.500 0.000  0.05
Ca 0.000 0.000 0.000  -0.03
Ru 0.500 0.500 0.500  2.92
N 0.000 0.000 0.500  -0.37
N 0.500 0.000 0.000  -0.18

[2]
An optimized crystal structure of Cu2ReBi, computed with PBE.

Properties
Symmetry: No. 122
ΔH_f (0 K) in eV/atom: 0.88
Crystal system: tetragonal

a = 7.296 Å, b = 7.296 Å, c = 5.808 Å
α = 51.09°, β = 51.09°, γ = 90.00°
Positions (direct):
Cu 0.599 0.125 0.250
Cu 0.375 0.401 0.750
Cu 0.875 0.849 0.750
Cu 0.151 0.625 0.250
Bi 0.750 0.250 0.500
Bi 0.000 0.000 0.000
Re 0.250 0.750 0.500
Re 0.500 0.500 0.000

[3]
An optimized crystal structure of Tb4Pm2Nd, computed with PBE.

Properties
Symmetry: No. 139
ΔE to the lowest computed polymorph in meV/atom: 211
ΔH_f (0 K) in eV/atom: 0.25
Crystal system: tetragonal

a = 4.577 Å, b = 4.577 Å, c = 11.839 Å
α = 101.15°, β = 101.15°, γ = 90.00°
Positions (direct):
Tb 0.860 0.860 0.721
Tb 0.140 0.140 0.279
Tb 0.250 0.750 0.500
Tb 0.750 0.250 0.500
Pm 0.598 0.598 0.195
Pm 0.402 0.402 0.805
Nd 0.000 0.000 0.000

[4]
An optimized crystal structure of InTcTe2, computed with PBE.

Properties
Raw formation energy in meV per atom: 82.9
Symmetry: No. 65
Crystal system: orthorhombic

a = 3.954 Å, b = 5.986 Å, c = 5.986 Å
α = 53.16°, β = 90.00°, γ = 90.00°
Each line ends with the local moment (μB).
Positions (direct):
In 0.500 0.250 0.250  0.01
Tc 0.500 0.750 0.750  0.74
Te 0.000 0.919 0.919  0.00
Te 0.000 0.581 0.581  0.00

[5]
An optimized crystal structure of Pm4Sm7In, computed with PBE.

Properties
Symmetry: No. 12
ΔE to the lowest computed polymorph in meV/atom: 99
ΔH_f (0 K) in eV/atom: 0.13
Crystal system: monoclinic

a = 6.024 Å, b = 8.653 Å, c = 9.859 Å
α = 60.71°, β = 72.21°, γ = 69.63°
Positions (direct):
Pm 0.728 0.816 0.728
Pm 0.598 0.290 0.514
Pm 0.272 0.184 0.272
Pm 0.402 0.710 0.486
Sm 0.067 0.589 0.278
Sm 0.156 0.029 0.658
Sm 0.500 0.000 0.000
Sm 0.278 0.545 0.899
Sm 0.722 0.455 0.101
Sm 0.933 0.411 0.722
Sm 0.844 0.971 0.342
In 0.000 0.000 0.000

[6]
An optimized crystal structure of NaTlHg2Pd, computed with PBE.

Properties
Symmetry: No. 123
ΔE to the lowest computed polymorph in meV/atom: 0
ΔH_f (0 K) in eV/atom: -0.08
Crystal system: tetragonal

a = 5.353 Å, b = 5.353 Å, c = 5.276 Å
α = 90.00°, β = 90.00°, γ = 90.00°
Positions (direct):
Tl 0.000 0.000 0.500
Pd 0.000 0.000 0.000
Na 0.500 0.500 0.500
Hg 0.000 0.500 0.000
Hg 0.500 0.000 0.000

[7]
An optimized crystal structure of KHgAs, computed with PBE.

Properties
Symmetry: No. 70
ΔH_f (0 K) in eV/atom: -0.27
Crystal system: orthorhombic

a = 8.836 Å, b = 8.614 Å, c = 8.079 Å
α = 63.83°, β = 61.03°, γ = 55.14°
Positions (direct):
K 0.612 0.612 0.888
K 0.862 0.862 0.138
K 0.888 0.888 0.612
K 0.138 0.138 0.862
As 0.745 0.255 0.255
As 0.005 0.495 0.495
As 0.255 0.745 0.745
As 0.495 0.005 0.005
Hg 0.375 0.875 0.375
Hg 0.875 0.375 0.375
Hg 0.375 0.375 0.375
Hg 0.375 0.375 0.875

[8]
An optimized crystal structure of InSnI, computed with PBE.

Properties
Raw formation energy in meV per atom: -210.4
Symmetry: No. 2
Crystal system: triclinic

a = 4.328 Å, b = 4.328 Å, c = 13.199 Å
α = 90.28°, β = 90.12°, γ = 120.00°
Positions (direct):
I 0.327 0.658 0.140
I 0.673 0.342 0.860
In 0.004 0.005 0.713
In 0.996 0.995 0.287
Sn 0.334 0.668 0.560
Sn 0.666 0.332 0.440

The records above yield total magnetization values of 0.48 0.00 0.00 0.22 0.00 0.00 0.00 0.00 μB per atom, respectively.